5
Lattice="5.641 0.000 0.000 0.000 4.702 0.000 0.000 0.000 5.641" Properties=species:S:1:pos:R:3 comment="TiIn2AuBr | the Alexandria database | GGA-PBE | optimized geometry" crystal_system=tetragonal final_energy_ev_per_cell=-14.8 m_tot_mub_per_fu=0.00 vol_a3_per_cell=149.6 pbc="T T T"
Ti 0.000 2.351 0.000
Au 2.821 2.351 2.821
Br 0.000 0.000 0.000
In 0.000 0.000 2.821
In 2.821 0.000 0.000

5
Lattice="-2.888 0.707 -4.782 0.398 -5.517 -1.055 -4.643 -0.847 2.678" Properties=species:S:1:pos:R:3 comment="Tl2InAuBr | the Alexandria database | GGA-PBE | optimized geometry" crystal_system=tetragonal final_energy_ev_per_cell=-13.6 m_tot_mub_per_fu=0.00 vol_a3_per_cell=172.1 pbc="T T T"
Tl 0.199 -2.759 -0.528
Tl -1.444 0.353 -2.391
Au 0.000 0.000 0.000
Br -3.567 -2.829 -1.580
In -2.321 -0.423 1.339

5
Lattice="-1.423 0.357 -4.958 2.263 -6.151 -1.092 -4.648 -1.923 1.195" Properties=species:S:1:pos:R:3 comment="TlInAu2Br | the Alexandria database | GGA-PBE | optimized geometry" crystal_system=tetragonal final_energy_ev_per_cell=-12.6 m_tot_mub_per_fu=0.00 vol_a3_per_cell=177.6 pbc="T T T"
Tl 1.132 -3.076 -0.546
Au -2.324 -0.961 0.598
Au -0.711 0.178 -2.479
Br -1.904 -3.858 -2.427
In 0.000 0.000 0.000